A plane-wave DFT calculation with meta-GGA SCAN was carried out for a crystal of Zr2CrCl relaxed with PBEsol.

ΔE_f (raw) = -0.2071 eV/atom
Distance to the lowest polymorph of the same formula = 298.8 meV/atom
E = -22.147 eV/atom
Volume = 72.2 Å³/cell
ρ = 6.21 g cm⁻³
DOS(E_F) = 3.469 states/eV/f.u.
M_tot = 2.0 μB per formula unit

Cell lengths 3.060, 4.949, 4.983 Å; angles 90.00, 106.95, 90.00 degrees
Last column: magnetic moment on the atom in μB.
Atoms (fractional coordinates):
Cr (0.447, 0.500, 0.897)  2.66
Zr (0.876, 0.000, 0.847)  -0.21
Zr (0.042, 0.500, 0.353)  -0.38
Cl (0.136, 0.000, 0.403)  0.02

A plane-wave DFT calculation with meta-GGA SCAN was carried out for a crystal of La2Cu2SeSO2 relaxed with PBEsol.

ΔE_f (raw) = -2.2532 eV/atom
E = -22.100 eV/atom
Volume = 134.0 Å³/cell
ρ = 6.79 g cm⁻³
DOS(E_F) = 0.000 states/eV/f.u.
M_tot = 0.0 μB per formula unit

Cell lengths 3.969, 3.969, 8.508 Å; angles 90.00, 90.00, 90.00 degrees
Atoms (fractional coordinates):
La (0.500, 0.500, 0.859)
La (0.000, 0.000, 0.152)
Cu (0.000, 0.500, 0.487)
Cu (0.500, 0.000, 0.487)
Se (0.000, 0.000, 0.666)
S (0.500, 0.500, 0.338)
O (0.000, 0.500, 0.005)
O (0.500, 0.000, 0.005)

A plane-wave DFT calculation with meta-GGA SCAN was carried out for a crystal of Li3CaIr relaxed with PBEsol.

Calculated formation energy = 0.11 eV/atom
E = -17.476 eV/atom
Volume = 102.2 Å³/cell
ρ = 4.11 g cm⁻³
DOS(E_F) = 2.039 states/eV/f.u.
M_tot = 0.0 μB per formula unit

Cell lengths 4.676, 4.676, 4.676 Å; angles 90.00, 90.00, 90.00 degrees
Atoms (fractional coordinates):
Ca (0.500, 0.500, 0.500)
Ir (0.000, 0.000, 0.000)
Li (0.000, 0.500, 0.000)
Li (0.000, 0.000, 0.500)
Li (0.500, 0.000, 0.000)

A plane-wave DFT calculation with meta-GGA SCAN was carried out for a crystal of IrPtAuN2 relaxed with PBEsol.

ΔE_f (raw) = 1.1330 eV/atom
E = -44.673 eV/atom
Volume = 74.7 Å³/cell
ρ = 13.61 g cm⁻³
DOS(E_F) = 3.447 states/eV/f.u.
M_tot = 0.0 μB per formula unit

Cell lengths 3.734, 3.734, 5.359 Å; angles 90.00, 90.00, 90.00 degrees
Atoms (fractional coordinates):
Ir (0.000, 0.000, 0.000)
Au (0.000, 0.000, 0.500)
Pt (0.500, 0.500, 0.500)
N (0.000, 0.500, 0.000)
N (0.500, 0.000, 0.000)

A plane-wave DFT calculation with meta-GGA SCAN was carried out for a crystal of BaGe2Os relaxed with PBEsol.

Calculated formation energy = 0.48 eV/atom
E = -36.924 eV/atom
Volume = 78.9 Å³/cell
ρ = 9.95 g cm⁻³
DOS(E_F) = 1.428 states/eV/f.u.
M_tot = 0.0 μB per formula unit

Cell lengths 4.814, 4.814, 4.814 Å; angles 60.00, 60.00, 60.00 degrees
Atoms (fractional coordinates):
Ge (0.250, 0.250, 0.250)
Ge (0.750, 0.750, 0.750)
Os (0.500, 0.500, 0.500)
Ba (0.000, 0.000, 0.000)

A plane-wave DFT calculation with meta-GGA SCAN was carried out for a crystal of FeGe2MoAu relaxed with PBEsol.

Calculated formation energy = 1.50 eV/atom
E = -30.571 eV/atom
Volume = 115.2 Å³/cell
ρ = 7.12 g cm⁻³
DOS(E_F) = 3.288 states/eV/f.u.
M_tot = 7.2 μB per formula unit

Cell lengths 4.713, 4.713, 5.188 Å; angles 90.00, 90.00, 90.00 degrees
Last column: magnetic moment on the atom in μB.
Atoms (fractional coordinates):
Mo (0.000, 0.000, 0.500)  3.28
Au (0.000, 0.000, 0.000)  0.09
Ge (0.000, 0.500, 0.000)  -0.02
Ge (0.500, 0.000, 0.000)  -0.02
Fe (0.500, 0.500, 0.500)  3.42

A plane-wave DFT calculation with meta-GGA SCAN was carried out for a crystal of ZrOsBr2 relaxed with PBEsol.

ΔE_f (raw) = -0.2471 eV/atom
Distance to the lowest polymorph of the same formula = 114.0 meV/atom
E = -35.622 eV/atom
Volume = 90.2 Å³/cell
ρ = 8.12 g cm⁻³
DOS(E_F) = 4.562 states/eV/f.u.
M_tot = 0.0 μB per formula unit

Cell lengths 3.387, 3.387, 9.287 Å; angles 79.49, 79.49, 60.00 degrees
Atoms (fractional coordinates):
Os (0.510, 0.510, 0.471)
Br (0.981, 0.981, 0.057)
Br (0.768, 0.768, 0.696)
Zr (0.241, 0.241, 0.276)

A plane-wave DFT calculation with meta-GGA SCAN was carried out for a crystal of Mg2GeIr2 relaxed with PBEsol.

Calculated formation energy = -0.53 eV/atom
E = -34.780 eV/atom
Volume = 167.7 Å³/cell
ρ = 10.01 g cm⁻³
DOS(E_F) = 2.528 states/eV/f.u.
M_tot = 0.0 μB per formula unit

Cell lengths 4.312, 6.237, 6.237 Å; angles 90.00, 90.00, 90.00 degrees
Atoms (fractional coordinates):
Ge (0.000, 0.000, 0.000)
Ge (0.000, 0.500, 0.500)
Ir (0.000, 0.355, 0.855)
Ir (0.000, 0.855, 0.645)
Ir (0.000, 0.645, 0.145)
Ir (0.000, 0.145, 0.355)
Mg (0.500, 0.164, 0.664)
Mg (0.500, 0.664, 0.836)
Mg (0.500, 0.836, 0.336)
Mg (0.500, 0.336, 0.164)

A plane-wave DFT calculation with meta-GGA SCAN was carried out for a crystal of CaAsI2 relaxed with PBEsol.

ΔE_f (raw) = -0.3755 eV/atom
Distance to the lowest polymorph of the same formula = 23.6 meV/atom
E = -26.210 eV/atom
Volume = 114.2 Å³/cell
ρ = 5.37 g cm⁻³
DOS(E_F) = 2.469 states/eV/f.u.
M_tot = 2.8 μB per formula unit

Cell lengths 5.445, 5.445, 5.445 Å; angles 60.00, 60.00, 60.00 degrees
Last column: magnetic moment on the atom in μB.
Atoms (fractional coordinates):
I (0.250, 0.250, 0.250)  0.15
I (0.750, 0.750, 0.750)  0.15
As (0.500, 0.500, 0.500)  0.99
Ca (0.000, 0.000, 0.000)  0.07

A plane-wave DFT calculation with meta-GGA SCAN was carried out for a crystal of SrHf2S relaxed with PBEsol.

ΔE_f (raw) = 0.0806 eV/atom
E = -39.232 eV/atom
Volume = 234.7 Å³/cell
ρ = 6.75 g cm⁻³
DOS(E_F) = 2.988 states/eV/f.u.
M_tot = 0.0 μB per formula unit

Cell lengths 5.110, 5.110, 9.685 Å; angles 105.30, 105.30, 90.00 degrees
Atoms (fractional coordinates):
Sr (0.250, 0.750, 0.500)
Sr (0.000, 0.000, 0.000)
S (0.750, 0.250, 0.500)
S (0.500, 0.500, 0.000)
Hf (0.632, 0.875, 0.250)
Hf (0.618, 0.375, 0.250)
Hf (0.125, 0.382, 0.750)
Hf (0.625, 0.368, 0.750)

A plane-wave DFT calculation with meta-GGA SCAN was carried out for a crystal of Ba2LiAg relaxed with PBEsol.

Calculated formation energy = -0.05 eV/atom
Distance to the lowest polymorph of the same formula = 83.6 meV/atom
E = -28.263 eV/atom
Volume = 138.5 Å³/cell
ρ = 4.67 g cm⁻³
DOS(E_F) = 3.693 states/eV/f.u.
M_tot = 0.2 μB per formula unit

Cell lengths 3.893, 3.893, 9.141 Å; angles 90.00, 90.00, 90.00 degrees
Atoms (fractional coordinates):
Ba (0.000, 0.000, 0.922)
Ba (0.500, 0.500, 0.315)
Ag (0.500, 0.500, 0.684)
Li (0.000, 0.000, 0.579)

A plane-wave DFT calculation with meta-GGA SCAN was carried out for a crystal of Nb2SbH relaxed with PBEsol.

E = -26.252 eV/atom
Volume = 65.1 Å³/cell
ρ = 7.88 g cm⁻³
DOS(E_F) = 3.571 states/eV/f.u.
M_tot = 0.0 μB per formula unit

Cell lengths 4.514, 4.514, 4.514 Å; angles 60.00, 60.00, 60.00 degrees
Atoms (fractional coordinates):
Sb (0.500, 0.500, 0.500)
Nb (0.250, 0.250, 0.250)
Nb (0.750, 0.750, 0.750)
H (0.000, 0.000, 0.000)